A plane-wave DFT calculation with meta-GGA SCAN was carried out for La2MgTc at its PBEsol-relaxed geometry.

Properties
- VASP energy: -126.15 eV per cell
- E_form: 0.1 eV/f.u.
- Symmetry: Cmmm (65)
- Total moment: 0.01 μB per cell

a = 3.463 Å, b = 3.463 Å, c = 8.728 Å
α = 90.00°, β = 90.00°, γ = 89.89°
Fractional positions:
La  0.000  0.000  0.802
Mg  0.500  0.500  0.500
Tc  0.500  0.500  0.000
La  0.000  0.000  0.198